1.
# MnCr2Pb | Alexandria | GGA-PBEsol | relaxed
# - N(E_F) (states/eV/f.u.) = 3.657
# - size of the total moment (μB per formula unit) = 2.62
# - crystal system = orthorhombic
# - total DFT energy (no corrections) (eV/atom) = -7.9837
# - DFT formation energy (eV per atom) = 0.58
data_MnCr2Pb
_chemical_formula_sum 'Mn2 Cr4 Pb2'
_space_group_name_H-M_alt 'I m m 2'
_space_group_IT_number 44
_cell_length_a 3.992
_cell_length_b 4.043
_cell_length_c 7.386
_cell_angle_alpha 90.00
_cell_angle_beta 90.00
_cell_angle_gamma 90.00
loop_
_space_group_symop_operation_xyz
'x,y,z'
'-x,-y,z'
'-x,y,z'
'x,-y,z'
'x+1/2,y+1/2,z+1/2'
'-x+1/2,-y+1/2,z+1/2'
'-x+1/2,y+1/2,z+1/2'
'x+1/2,-y+1/2,z+1/2'
loop_
_atom_site_label
_atom_site_type_symbol
_atom_site_fract_x
_atom_site_fract_y
_atom_site_fract_z
_atom_site_occupancy
Mn1 Mn 0.000 0.000 0.000 1
Cr1 Cr 0.000 0.000 0.504 1
Cr2 Cr 0.000 0.500 0.252 1
Pb1 Pb 0.000 0.500 0.752 1

2.
# LiTe | Alexandria | GGA-PBEsol | relaxed
# - N(E_F) (states/eV/f.u.) = 0.744
# - size of the total moment (μB per formula unit) = 0.00
# - crystal system = hexagonal
# - formation energy (no corrections) (eV per atom) = -0.37
# - polymorph energy (0 for the lowest one) (eV/atom) = 0.2864
# - total DFT energy (no corrections) (eV/atom) = -3.1125
data_LiTe
_chemical_formula_sum 'Li4 Te4'
_space_group_name_H-M_alt 'P 63/m m c'
_space_group_IT_number 194
_space_group_name_Hall '-P 6c 2c'
_cell_length_a 5.3685
_cell_length_b 5.3685
_cell_length_c 8.2165
_cell_angle_alpha 90.00
_cell_angle_beta 90.00
_cell_angle_gamma 120.00
loop_
_atom_site_label
_atom_site_type_symbol
_atom_site_fract_x
_atom_site_fract_y
_atom_site_fract_z
_atom_site_occupancy
Li1 Li 0.3333 0.6667 0.0836 1
Te1 Te 0.0000 0.0000 0.2500 1
Te2 Te 0.3333 0.6667 0.7500 1

3.
# TeP2RuS | Alexandria | GGA-PBEsol | relaxed
# - N(E_F) (states/eV/f.u.) = 6.321
# - size of the total moment (μB per formula unit) = 2.65
# - crystal system = tetragonal
# - formation energy (no corrections) (eV per atom) = 1.82
# - total DFT energy (no corrections) (eV/atom) = -4.1111
data_TeP2RuS
_chemical_formula_sum 'Te1 P2 Ru1 S1'
_space_group_name_H-M_alt 'P 4/m m m'
_space_group_IT_number 123
_space_group_name_Hall '-P 4 2'
_cell_length_a 4.944
_cell_length_b 4.944
_cell_length_c 4.819
_cell_angle_alpha 90.00
_cell_angle_beta 90.00
_cell_angle_gamma 90.00
loop_
_atom_site_label
_atom_site_type_symbol
_atom_site_fract_x
_atom_site_fract_y
_atom_site_fract_z
_atom_site_occupancy
Te1 Te 0.000 0.000 0.000 1
P1 P 0.000 0.500 0.000 1
Ru1 Ru 0.500 0.500 0.500 1
S1 S 0.000 0.000 0.500 1

4.
# AlFeSb2 | Alexandria | GGA-PBEsol | relaxed
# - N(E_F) (states/eV/f.u.) = 3.636
# - size of the total moment (μB per formula unit) = 2.32
# - crystal system = orthorhombic
# - formation energy (no corrections) (eV per atom) = 0.40
# - total DFT energy (no corrections) (eV/atom) = -5.1423
data_AlFeSb2
_chemical_formula_sum 'Al2 Fe2 Sb4'
_space_group_name_H-M_alt 'C m m m'
_space_group_IT_number 65
_space_group_name_Hall '-C 2 2'
_cell_length_a 6.065
_cell_length_b 7.348
_cell_length_c 3.457
_cell_angle_alpha 90.00
_cell_angle_beta 90.00
_cell_angle_gamma 90.00
loop_
_atom_site_label
_atom_site_type_symbol
_atom_site_fract_x
_atom_site_fract_y
_atom_site_fract_z
_atom_site_occupancy
Al1 Al 0.000 0.000 0.000 1
Fe1 Fe 0.000 0.500 0.000 1
Sb1 Sb 0.250 0.250 0.500 1

5.
# LaMg2Al2 | Alexandria | GGA-PBEsol | relaxed
# - N(E_F) (states/eV/f.u.) = 1.904
# - size of the total moment (μB per formula unit) = 0.00
# - crystal system = tetragonal
# - total DFT energy (no corrections) (eV/atom) = -3.5302
# - DFT formation energy (eV per atom) = -0.14
data_LaMg2Al2
_chemical_formula_sum 'La2 Mg4 Al4'
_space_group_name_H-M_alt 'P 4/m b m'
_space_group_IT_number 127
_space_group_name_Hall '-P 4 2ab'
_cell_length_a 8.497
_cell_length_b 8.497
_cell_length_c 3.040
_cell_angle_alpha 90.00
_cell_angle_beta 90.00
_cell_angle_gamma 90.00
loop_
_atom_site_label
_atom_site_type_symbol
_atom_site_fract_x
_atom_site_fract_y
_atom_site_fract_z
_atom_site_occupancy
La1 La 0.000 0.000 0.000 1
Mg1 Mg 0.123 0.377 0.000 1
Al1 Al 0.172 0.672 0.500 1

6.
# CrC3Br | Alexandria | GGA-PBEsol | relaxed
# - N(E_F) (states/eV/f.u.) = 2.930
# - size of the total moment (μB per formula unit) = 3.03
# - crystal system = cubic
# - formation energy (no corrections) (eV per atom) = 3.39
# - total DFT energy (no corrections) (eV/atom) = -4.8151
data_CrC3Br
_chemical_formula_sum 'Cr1 C3 Br1'
_space_group_name_H-M_alt 'P m -3 m'
_space_group_IT_number 221
_space_group_name_Hall '-P 4 2 3'
_cell_length_a 3.866
_cell_length_b 3.866
_cell_length_c 3.866
_cell_angle_alpha 90.00
_cell_angle_beta 90.00
_cell_angle_gamma 90.00
loop_
_atom_site_label
_atom_site_type_symbol
_atom_site_fract_x
_atom_site_fract_y
_atom_site_fract_z
_atom_site_occupancy
Cr1 Cr 0.000 0.000 0.000 1
C1 C 0.000 0.500 0.500 1
Br1 Br 0.500 0.500 0.500 1

7.
# KIn2Ag | Alexandria | GGA-PBEsol | relaxed
# - N(E_F) (states/eV/f.u.) = 1.524
# - size of the total moment (μB per formula unit) = 0.00
# - crystal system = orthorhombic
# - total DFT energy (no corrections) (eV/atom) = -2.6685
# - DFT formation energy (eV per atom) = -0.07
data_KIn2Ag
_chemical_formula_sum 'K1 In2 Ag1'
_space_group_name_H-M_alt 'P m m m'
_space_group_IT_number 47
_cell_length_a 3.424
_cell_length_b 3.449
_cell_length_c 8.664
_cell_angle_alpha 90.00
_cell_angle_beta 90.00
_cell_angle_gamma 90.00
loop_
_space_group_symop_operation_xyz
'x,y,z'
'-x,-y,-z'
'-x,-y,z'
'x,y,-z'
'x,-y,-z'
'-x,y,z'
'-x,y,-z'
'x,-y,z'
loop_
_atom_site_label
_atom_site_type_symbol
_atom_site_fract_x
_atom_site_fract_y
_atom_site_fract_z
_atom_site_occupancy
K1 K 0.000 0.000 0.000 1
In1 In 0.500 0.500 0.308 1
Ag1 Ag 0.000 0.000 0.500 1

8.
# YAlHg2 | Alexandria | GGA-PBEsol | relaxed
# - N(E_F) (states/eV/f.u.) = 2.421
# - size of the total moment (μB per formula unit) = 0.00
# - crystal system = tetragonal
# - total DFT energy (no corrections) (eV/atom) = -3.4170
# - DFT formation energy (eV per atom) = -0.41
data_YAlHg2
_chemical_formula_sum 'Y1 Al1 Hg2'
_space_group_name_H-M_alt 'P 4/m m m'
_space_group_IT_number 123
_space_group_name_Hall '-P 4 2'
_cell_length_a 4.450
_cell_length_b 4.450
_cell_length_c 4.332
_cell_angle_alpha 90.00
_cell_angle_beta 90.00
_cell_angle_gamma 90.00
loop_
_atom_site_label
_atom_site_type_symbol
_atom_site_fract_x
_atom_site_fract_y
_atom_site_fract_z
_atom_site_occupancy
Y1 Y 0.000 0.000 0.000 1
Al1 Al 0.500 0.500 0.000 1
Hg1 Hg 0.000 0.500 0.500 1

9.
# TaWAu2 | Alexandria | GGA-PBEsol | relaxed
# - N(E_F) (states/eV/f.u.) = 3.466
# - size of the total moment (μB per formula unit) = 0.00
# - crystal system = tetragonal
# - polymorph energy (0 for the lowest one) (eV/atom) = 0.1390
# - total DFT energy (no corrections) (eV/atom) = -8.3630
# - DFT formation energy (eV per atom) = 0.19
data_TaWAu2
_chemical_formula_sum 'Ta1 W1 Au2'
_space_group_name_H-M_alt 'P 4/m m m'
_space_group_IT_number 123
_space_group_name_Hall '-P 4 2'
_cell_length_a 2.791
_cell_length_b 2.791
_cell_length_c 8.440
_cell_angle_alpha 90.00
_cell_angle_beta 90.00
_cell_angle_gamma 90.00
loop_
_atom_site_label
_atom_site_type_symbol
_atom_site_fract_x
_atom_site_fract_y
_atom_site_fract_z
_atom_site_occupancy
Ta1 Ta 0.000 0.000 0.000 1
W1 W 0.000 0.000 0.500 1
Au1 Au 0.500 0.500 0.252 1

10.
# LiLa3Si | Alexandria | GGA-PBEsol | relaxed
# - N(E_F) (states/eV/f.u.) = 10.420
# - size of the total moment (μB per formula unit) = 1.16
# - crystal system = cubic
# - formation energy (no corrections) (eV per atom) = 0.08
# - total DFT energy (no corrections) (eV/atom) = -4.6665
data_LiLa3Si
_chemical_formula_sum 'Li1 La3 Si1'
_space_group_name_H-M_alt 'P m -3 m'
_space_group_IT_number 221
_space_group_name_Hall '-P 4 2 3'
_cell_length_a 5.734
_cell_length_b 5.734
_cell_length_c 5.734
_cell_angle_alpha 90.00
_cell_angle_beta 90.00
_cell_angle_gamma 90.00
loop_
_atom_site_label
_atom_site_type_symbol
_atom_site_fract_x
_atom_site_fract_y
_atom_site_fract_z
_atom_site_occupancy
Li1 Li 0.000 0.000 0.000 1
La1 La 0.000 0.500 0.500 1
Si1 Si 0.500 0.500 0.500 1

11.
# BaScFe2 | Alexandria | GGA-PBEsol | relaxed
# - N(E_F) (states/eV/f.u.) = 4.527
# - size of the total moment (μB per formula unit) = 3.81
# - crystal system = tetragonal
# - polymorph energy (0 for the lowest one) (eV/atom) = 0.4877
# - total DFT energy (no corrections) (eV/atom) = -5.9312
# - DFT formation energy (eV per atom) = 0.74
data_BaScFe2
_chemical_formula_sum 'Ba1 Sc1 Fe2'
_space_group_name_H-M_alt 'P 4/m m m'
_space_group_IT_number 123
_space_group_name_Hall '-P 4 2'
_cell_length_a 4.849
_cell_length_b 4.849
_cell_length_c 3.340
_cell_angle_alpha 90.00
_cell_angle_beta 90.00
_cell_angle_gamma 90.00
loop_
_atom_site_label
_atom_site_type_symbol
_atom_site_fract_x
_atom_site_fract_y
_atom_site_fract_z
_atom_site_occupancy
Ba1 Ba 0.000 0.000 0.000 1
Sc1 Sc 0.500 0.500 0.000 1
Fe1 Fe 0.000 0.500 0.500 1

12.
# MgZnPdCl2 | Alexandria | GGA-PBEsol | relaxed
# - N(E_F) (states/eV/f.u.) = 1.500
# - size of the total moment (μB per formula unit) = 0.00
# - crystal system = tetragonal
# - formation energy (no corrections) (eV per atom) = -0.13
# - total DFT energy (no corrections) (eV/atom) = -2.7819
data_MgZnPdCl2
_chemical_formula_sum 'Mg1 Zn1 Pd1 Cl2'
_space_group_name_H-M_alt 'P 4/m m m'
_space_group_IT_number 123
_space_group_name_Hall '-P 4 2'
_cell_length_a 4.787
_cell_length_b 4.787
_cell_length_c 5.160
_cell_angle_alpha 90.00
_cell_angle_beta 90.00
_cell_angle_gamma 90.00
loop_
_atom_site_label
_atom_site_type_symbol
_atom_site_fract_x
_atom_site_fract_y
_atom_site_fract_z
_atom_site_occupancy
Mg1 Mg 0.000 0.000 0.000 1
Zn1 Zn 0.500 0.500 0.000 1
Pd1 Pd 0.000 0.000 0.500 1
Cl1 Cl 0.000 0.500 0.500 1